No. 1
Entry from Alexandria via LeMat-Bulk: a relaxed structure of SrCrPt (GGA-PBE).

Properties
The crystal system is orthorhombic. The energy relative to the elements is -0.095 eV/atom. As for the energy: -5.877 eV per atom. The theoretical density is 9055 kg/m³.

a = 5.2397 Å, b = 5.5984 Å, c = 5.5984 Å
α = 116.42°, β = 62.09°, γ = 117.91°
Sites, in units of the cell vectors:
Pt  0.9522  0.2524  0.8210
Sr  0.5980  0.6290  0.9060
Cr  0.0306  0.2390  0.2960
Cr  0.3872  0.2394  0.2956
Pt  0.9522  0.7140  0.2826
Sr  0.3461  0.8771  0.6580



No. 2
Entry from Alexandria via LeMat-Bulk: a relaxed structure of SrCrPt (GGA-PBE).

Properties
The crystal system is hexagonal. The energy relative to the elements is -0.172 eV/atom. As for the energy: -5.954 eV per atom. The theoretical density is 7338 kg/m³.

a = 4.4031 Å, b = 4.4031 Å, c = 4.5110 Å
α = 90.00°, β = 90.00°, γ = 120.00°
Site moments in Bohr magnetons follow the coordinates.
Sites, in units of the cell vectors:
Pt  0.6667  0.3333  0.1668  0.06
Sr  0.3333  0.6667  0.6666  0.03
Cr  0.0000  0.0000  0.1666  3.55



No. 3
Entry from Alexandria via LeMat-Bulk: a relaxed structure of SrCrPt (GGA-PBE).

Properties
The crystal system is hexagonal. The energy relative to the elements is 0.796 eV/atom. As for the energy: -4.986 eV per atom. The theoretical density is 4764 kg/m³.

a = 5.3674 Å, b = 5.3674 Å, c = 9.3518 Å
α = 90.00°, β = 90.00°, γ = 120.00°
Site moments in Bohr magnetons follow the coordinates.
Sites, in units of the cell vectors:
Sr  0.6667  0.3333  0.7500  0.07
Sr  0.3333  0.6667  0.2500  0.07
Pt  0.0000  0.0000  0.5000  0.03
Cr  0.0000  0.0000  0.2500  3.50
Pt  0.0000  0.0000  0.0000  0.03
Cr  0.0000  0.0000  0.7500  3.50



No. 4
Entry from Alexandria via LeMat-Bulk: a relaxed structure of SrCrPt (GGA-PBE).

Properties
The crystal system is orthorhombic. The energy relative to the elements is -0.077 eV/atom. As for the energy: -5.859 eV per atom. The theoretical density is 8483 kg/m³.

a = 5.1725 Å, b = 4.4227 Å, c = 6.1394 Å
α = 111.10°, β = 90.01°, γ = 90.00°
Site moments in Bohr magnetons follow the coordinates.
Sites, in units of the cell vectors:
Sr  0.0875  0.6597  0.7987  -0.01
Pt  0.0876  0.3849  0.2492  0.04
Sr  0.5875  0.2358  0.9511  0.01
Cr  0.2940  0.9527  0.3849  1.21
Pt  0.5875  0.5057  0.4906  0.01
Cr  0.8816  0.9528  0.3849  1.21



No. 5
Entry from Alexandria via LeMat-Bulk: a relaxed structure of SrCrPt (GGA-PBE).

Properties
The crystal system is monoclinic. The energy relative to the elements is -0.080 eV/atom. As for the energy: -5.862 eV per atom. The theoretical density is 7869 kg/m³.

a = 4.2170 Å, b = 7.2460 Å, c = 6.3245 Å
α = 126.54°, β = 70.52°, γ = 90.01°
Sites, in units of the cell vectors:
Sr  0.0594  0.2304  0.2226
Pt  0.3316  0.6604  0.6780
Cr  0.8468  0.8353  0.6478
Pt  0.3203  0.2985  0.7008
Cr  0.8052  0.1235  0.7310
Sr  0.5926  0.7284  0.1562



No. 6
Entry from Alexandria via LeMat-Bulk: a relaxed structure of SrCrPt (GGA-PBE).

Properties
The crystal system is monoclinic. The energy relative to the elements is -0.023 eV/atom. As for the energy: -5.805 eV per atom. The theoretical density is 6616 kg/m³.

a = 10.4355 Å, b = 4.3801 Å, c = 4.3780 Å
α = 59.98°, β = 102.21°, γ = 89.99°
Site moments in Bohr magnetons follow the coordinates.
Sites, in units of the cell vectors:
Pt  0.8340  0.1752  0.6759  -0.03
Sr  0.4946  0.2892  0.4486  0.01
Pt  0.6916  0.8897  0.2471  -0.01
Sr  0.1313  0.0765  0.8735  0.00
Cr  0.8874  0.4909  0.0443  1.54
Cr  0.7017  0.5529  0.9209  -1.42



No. 7
Entry from Alexandria via LeMat-Bulk: a relaxed structure of SrCr4Pt (GGA-PBE).

Properties
The crystal system is cubic. The energy relative to the elements is 0.615 eV/atom. As for the energy: -7.088 eV per atom. The theoretical density is 8903 kg/m³.

a = 5.0583 Å, b = 5.0583 Å, c = 5.0583 Å
α = 60.00°, β = 60.00°, γ = 60.00°
Sites, in units of the cell vectors:
Cr  0.3736  0.3736  0.3736
Pt  0.7500  0.7500  0.7500
Sr  0.0000  0.0000  0.0000
Cr  0.3736  0.3736  0.8793
Cr  0.8793  0.3736  0.3736
Cr  0.3736  0.8793  0.3736



No. 8
Entry from Alexandria via LeMat-Bulk: a relaxed structure of Sr2CrPt (GGA-PBE).

Properties
The crystal system is cubic. The energy relative to the elements is 0.203 eV/atom. As for the energy: -4.554 eV per atom. The theoretical density is 6962 kg/m³.

a = 5.2227 Å, b = 5.2227 Å, c = 5.2227 Å
α = 60.00°, β = 60.00°, γ = 60.00°
Site moments in Bohr magnetons follow the coordinates.
Sites, in units of the cell vectors:
Sr  0.0000  0.0000  0.0000  -0.01
Cr  0.5000  0.5000  0.5000  3.90
Pt  0.7500  0.7500  0.7500  0.12
Sr  0.2500  0.2500  0.2500  0.07



No. 9
Entry from Alexandria via LeMat-Bulk: a relaxed structure of Sr2CrPt (GGA-PBE).

Properties
The crystal system is monoclinic. The energy relative to the elements is 0.143 eV/atom. As for the energy: -4.614 eV per atom. The theoretical density is 5198 kg/m³.

a = 4.3246 Å, b = 4.3246 Å, c = 8.7315 Å
α = 76.24°, β = 76.24°, γ = 59.20°
Site moments in Bohr magnetons follow the coordinates.
Sites, in units of the cell vectors:
Cr  0.7500  0.7500  0.7500  4.17
Sr  0.9834  0.9834  0.0467  0.01
Pt  0.2500  0.2500  0.2500  0.02
Sr  0.5166  0.5166  0.4533  0.01



No. 10
Entry from Alexandria via LeMat-Bulk: a relaxed structure of Sr2CrPt (GGA-PBE).

Properties
The crystal system is tetragonal. The energy relative to the elements is 0.022 eV/atom. As for the energy: -4.735 eV per atom. The theoretical density is 5917 kg/m³.

a = 3.6570 Å, b = 3.6570 Å, c = 8.8617 Å
α = 90.00°, β = 90.00°, γ = 90.00°
Site moments in Bohr magnetons follow the coordinates.
Sites, in units of the cell vectors:
Sr  0.5000  0.5000  0.3244  -0.03
Cr  0.0000  0.0000  0.5838  3.45
Sr  0.0000  0.0000  0.9186  0.01
Pt  0.5000  0.5000  0.6732  0.07



No. 11
Entry from Alexandria via LeMat-Bulk: a relaxed structure of SrCrPt3 (GGA-PBE).

Properties
The crystal system is cubic. The energy relative to the elements is 2.137 eV/atom. As for the energy: -3.748 eV per atom. The theoretical density is 8934 kg/m³.

a = 5.1265 Å, b = 5.1265 Å, c = 5.1265 Å
α = 90.00°, β = 90.00°, γ = 90.00°
Site moments in Bohr magnetons follow the coordinates.
Sites, in units of the cell vectors:
Pt  0.0000  0.5000  0.0000  0.00
Sr  0.0000  0.0000  0.0000  0.00
Pt  0.5000  0.0000  0.0000  0.02
Pt  0.0000  0.0000  0.5000  -0.03
Cr  0.5000  0.5000  0.5000  0.72



No. 12
Entry from Alexandria via LeMat-Bulk: a relaxed structure of SrCrPt (GGA-PBE).

Properties
The crystal system is monoclinic. The energy relative to the elements is -0.049 eV/atom. As for the energy: -5.831 eV per atom. The theoretical density is 7896 kg/m³.

a = 3.9888 Å, b = 8.2781 Å, c = 4.5435 Å
α = 105.90°, β = 90.02°, γ = 77.82°
Sites, in units of the cell vectors:
Pt  0.1061  0.9557  0.0938
Sr  0.8084  0.6327  0.9329
Sr  0.4596  0.2880  0.2603
Cr  0.5894  0.9677  0.6012
Cr  0.2627  0.8341  0.5330
Pt  0.0025  0.1982  0.7152